No. 1
! PrDyTh2 PBE relaxed; values from VASP
! excess energy over the best structure of this formula in the dataset = 4.4 kJ/mol of atoms
! uncorrected energy = -23.92 eV for the cell shown
! E_form = 76 meV/atom
! V = 32.9 Å³ per atom
! crystal system = tetragonal
! space-group type = No. 123
&SYSTEM
  ibrav = 0, nat = 4, ntyp = 3
/
ATOMIC_SPECIES
Th 232.04 Th.upf
Pr 140.91 Pr.upf
Dy 162.50 Dy.upf
CELL_PARAMETERS angstrom
-0.160 -4.187 -3.057
5.031 -0.070 -0.166
0.093 -2.970 4.064
ATOMIC_POSITIONS angstrom
Th 2.516 -0.035 -0.083
Th 0.047 -1.485 2.032
Pr -0.080 -2.094 -1.529
Dy 2.482 -3.614 0.420



No. 2
! Pr4Dy3Th2 PBE relaxed; values from VASP
! excess energy over the best structure of this formula in the dataset = 0.0 kJ/mol of atoms
! uncorrected energy = -47.01 eV for the cell shown
! E_form = 84 meV/atom
! V = 34.0 Å³ per atom
! crystal system = trigonal
! space-group type = No. 156
&SYSTEM
  ibrav = 0, nat = 9, ntyp = 3
/
ATOMIC_SPECIES
Dy 162.50 Dy.upf
Pr 140.91 Pr.upf
Th 232.04 Th.upf
CELL_PARAMETERS angstrom
3.601 0.000 0.000
-1.800 3.118 0.000
0.000 0.000 27.282
ATOMIC_POSITIONS angstrom
Dy 0.000 0.000 26.786
Pr 1.800 1.039 11.741
Pr 0.000 0.000 20.853
Pr 0.000 0.000 14.920
Th 1.800 1.039 23.869
Th 1.800 1.039 2.395
Pr 1.800 1.039 5.864
Dy 0.000 0.000 8.781
Dy 1.800 1.039 17.851



No. 3
! Pr2Dy3Th PBE relaxed; values from VASP
! uncorrected energy = -60.18 eV for the cell shown
! E_form = 116 meV/atom
! V = 33.4 Å³ per atom
! crystal system = monoclinic
! space-group type = No. 15
&SYSTEM
  ibrav = 0, nat = 12, ntyp = 3
/
ATOMIC_SPECIES
Th 232.04 Th.upf
Pr 140.91 Pr.upf
Dy 162.50 Dy.upf
CELL_PARAMETERS angstrom
-5.143 3.509 -2.529
-3.482 -8.347 -1.127
-3.679 -0.247 5.618
ATOMIC_POSITIONS angstrom
Th -3.357 -5.985 -0.584
Pr -9.479 -5.335 2.349
Pr -3.334 -2.790 1.370
Dy -6.302 -4.896 0.447
Pr -2.824 0.250 -0.386
Dy -6.507 -3.209 3.309
Dy -5.797 -1.876 -1.346
Pr -8.969 -2.294 0.593
Dy -5.522 2.840 -0.269
Dy -6.001 -0.189 1.515
Dy -6.781 -7.925 2.232
Th -8.947 0.901 2.547



No. 4
! PrDy9Th2 PBE relaxed; values from VASP
! excess energy over the best structure of this formula in the dataset = 6.7 kJ/mol of atoms
! uncorrected energy = -59.84 eV for the cell shown
! E_form = 100 meV/atom
! V = 32.7 Å³ per atom
! crystal system = hexagonal
! space-group type = No. 191
&SYSTEM
  ibrav = 0, nat = 12, ntyp = 3
/
ATOMIC_SPECIES
Dy 162.50 Dy.upf
Th 232.04 Th.upf
Pr 140.91 Pr.upf
CELL_PARAMETERS angstrom
3.510 0.000 0.000
0.000 11.358 0.000
0.000 -5.679 9.837
ATOMIC_POSITIONS angstrom
Dy 1.755 5.679 6.384
Dy 1.755 -2.689 8.110
Dy 1.755 8.368 1.726
Dy 1.755 2.990 1.726
Th 0.000 0.000 6.558
Th 0.000 5.679 3.279
Dy 1.755 2.689 8.110
Dy 0.000 -2.840 4.918
Pr 0.000 0.000 0.000
Dy 1.755 0.000 3.453
Dy 0.000 2.840 4.918
Dy 0.000 5.679 0.000



No. 5
! Pr2Dy8Th PBE relaxed; values from VASP
! excess energy over the best structure of this formula in the dataset = 0.0 kJ/mol of atoms
! uncorrected energy = -53.50 eV for the cell shown
! E_form = 27 meV/atom
! V = 32.4 Å³ per atom
! crystal system = monoclinic
! space-group type = No. 12
&SYSTEM
  ibrav = 0, nat = 11, ntyp = 3
/
ATOMIC_SPECIES
Dy 162.50 Dy.upf
Th 232.04 Th.upf
Pr 140.91 Pr.upf
CELL_PARAMETERS angstrom
4.896 0.000 -1.304
-0.523 7.736 -1.965
-0.101 -0.067 9.466
ATOMIC_POSITIONS angstrom
Dy 1.643 4.196 6.168
Dy 4.450 2.010 6.865
Dy 3.736 6.329 4.184
Dy -0.178 5.659 -0.668
Dy 0.536 1.340 2.014
Dy 1.457 0.679 5.469
Th 2.448 0.000 -0.652
Dy 2.630 3.473 0.029
Dy 2.816 6.990 0.728
Pr 3.535 2.774 3.431
Pr 0.737 4.895 2.767



No. 6
! Pr4Dy5Th2 PBE relaxed; values from VASP
! uncorrected energy = -56.64 eV for the cell shown
! E_form = 30 meV/atom
! V = 33.3 Å³ per atom
! crystal system = triclinic
! space-group type = No. 2
&SYSTEM
  ibrav = 0, nat = 11, ntyp = 3
/
ATOMIC_SPECIES
Th 232.04 Th.upf
Dy 162.50 Dy.upf
Pr 140.91 Pr.upf
CELL_PARAMETERS angstrom
3.170 -0.368 -1.695
-0.602 9.512 0.624
-4.365 1.545 14.619
ATOMIC_POSITIONS angstrom
Th -4.226 7.412 13.582
Dy 1.585 -0.184 -0.848
Th 2.429 3.278 -0.035
Pr -1.821 3.695 11.192
Dy -0.932 5.948 8.510
Pr -1.776 2.446 7.692
Pr -0.021 8.244 5.855
Dy 1.469 1.018 2.520
Dy -0.865 4.742 5.037
Pr 0.024 6.995 2.355
Dy -3.266 9.672 11.027



No. 7
! Pr2Dy5Th2 PBE relaxed; values from VASP
! uncorrected energy = -45.18 eV for the cell shown
! E_form = 248 meV/atom
! V = 34.9 Å³ per atom
! crystal system = monoclinic
! space-group type = No. 12
&SYSTEM
  ibrav = 0, nat = 9, ntyp = 3
/
ATOMIC_SPECIES
Th 232.04 Th.upf
Pr 140.91 Pr.upf
Dy 162.50 Dy.upf
CELL_PARAMETERS angstrom
-2.105 2.498 -1.230
4.252 0.194 -6.886
-8.966 -9.171 1.672
ATOMIC_POSITIONS angstrom
Th -7.918 -7.053 -0.775
Pr -4.159 -3.710 -5.372
Dy -1.328 -1.630 -5.992
Dy -5.491 -4.849 -0.452
Pr -2.661 -2.769 -1.071
Dy -6.940 -5.136 -3.509
Th 1.098 0.574 -5.668
Dy 0.120 -1.343 -2.934
Dy 0.000 0.000 0.000



No. 8
! Pr5Dy12Th2 PBE relaxed; values from VASP
! uncorrected energy = -91.27 eV for the cell shown
! E_form = 142 meV/atom
! V = 33.8 Å³ per atom
! crystal system = monoclinic
! space-group type = No. 12
&SYSTEM
  ibrav = 0, nat = 19, ntyp = 3
/
ATOMIC_SPECIES
Dy 162.50 Dy.upf
Pr 140.91 Pr.upf
Th 232.04 Th.upf
CELL_PARAMETERS angstrom
4.702 11.443 0.435
-4.702 11.443 0.435
0.000 6.115 6.207
ATOMIC_POSITIONS angstrom
Dy -3.029 8.412 0.619
Dy 0.000 14.075 1.857
Dy 3.029 8.412 0.619
Dy 0.000 6.126 4.619
Dy 0.000 14.925 5.221
Pr 0.000 19.920 4.422
Pr 0.000 3.057 3.103
Dy -3.029 20.589 6.458
Dy -1.804 16.948 3.107
Th -1.610 11.443 0.435
Pr 0.000 23.050 6.232
Dy 3.029 20.589 6.458
Dy 1.804 12.053 3.970
Dy 1.804 16.948 3.107
Pr 0.000 5.951 0.845
Pr 0.000 9.081 2.655
Dy 0.000 22.875 2.458
Dy -1.804 12.053 3.970
Th 1.610 11.443 0.435



No. 9
! PrDy12Th5 PBE relaxed; values from VASP
! uncorrected energy = -96.29 eV for the cell shown
! E_form = 45 meV/atom
! V = 32.0 Å³ per atom
! crystal system = monoclinic
! space-group type = No. 12
&SYSTEM
  ibrav = 0, nat = 18, ntyp = 3
/
ATOMIC_SPECIES
Dy 162.50 Dy.upf
Th 232.04 Th.upf
Pr 140.91 Pr.upf
CELL_PARAMETERS angstrom
10.645 -0.001 -0.004
5.323 9.254 -0.675
0.002 -1.634 5.961
ATOMIC_POSITIONS angstrom
Dy 8.881 1.482 5.730
Dy 7.049 -1.634 5.958
Dy 12.405 5.357 2.523
Dy 1.777 -0.817 2.981
Th 10.649 4.540 5.504
Th 5.325 5.328 2.479
Dy 3.565 2.263 2.758
Dy 7.090 6.138 -0.449
Dy 7.080 2.263 2.755
Dy 3.560 4.505 5.512
Dy 14.193 8.436 2.301
Th 5.321 3.080 -0.223
Pr 0.000 0.000 0.000
Dy 8.921 9.254 -0.676
Th 5.324 -0.817 2.978
Th 10.645 2.292 2.802
Dy 8.890 5.357 2.526
Dy 12.410 3.115 -0.231



No. 10
! Pr6DyTh2 PBE relaxed; values from VASP
! uncorrected energy = -47.47 eV for the cell shown
! E_form = 72 meV/atom
! V = 35.0 Å³ per atom
! crystal system = hexagonal
! space-group type = No. 187
&SYSTEM
  ibrav = 0, nat = 9, ntyp = 3
/
ATOMIC_SPECIES
Pr 140.91 Pr.upf
Th 232.04 Th.upf
Dy 162.50 Dy.upf
CELL_PARAMETERS angstrom
3.639 0.000 0.000
-1.819 3.151 0.000
0.000 0.000 27.437
ATOMIC_POSITIONS angstrom
Pr 1.819 1.050 24.519
Pr 0.000 2.101 15.464
Th 1.819 1.050 18.396
Pr 1.819 1.050 2.918
Th 1.819 1.050 9.041
Dy 0.000 2.101 0.000
Pr 0.000 2.101 11.973
Pr 0.000 2.101 21.368
Pr 0.000 2.101 6.069



No. 11
! PrDy8Th2 PBE relaxed; values from VASP
! excess energy over the best structure of this formula in the dataset = 1.7 kJ/mol of atoms
! uncorrected energy = -54.25 eV for the cell shown
! E_form = 199 meV/atom
! V = 32.9 Å³ per atom
! crystal system = triclinic
! space-group type = No. 2
&SYSTEM
  ibrav = 0, nat = 11, ntyp = 3
/
ATOMIC_SPECIES
Dy 162.50 Dy.upf
Pr 140.91 Pr.upf
Th 232.04 Th.upf
CELL_PARAMETERS angstrom
-1.708 -1.029 5.621
1.589 -7.175 -1.894
7.660 5.123 0.630
ATOMIC_POSITIONS angstrom
Dy 8.090 0.723 1.118
Dy 2.336 -0.093 3.859
Pr -0.854 -0.515 2.811
Th 4.657 0.629 1.530
Dy 5.205 -2.990 0.499
Th 2.883 -3.711 2.828
Dy 3.107 -5.325 -1.114
Dy 4.434 2.242 5.472
Dy 5.469 -1.714 3.953
Dy -0.550 -3.805 3.239
Dy 2.072 -1.368 0.404



No. 12
! Pr3Dy7Th PBE relaxed; values from VASP
! uncorrected energy = -52.06 eV for the cell shown
! E_form = 174 meV/atom
! V = 34.7 Å³ per atom
! crystal system = trigonal
! space-group type = No. 156
&SYSTEM
  ibrav = 0, nat = 11, ntyp = 3
/
ATOMIC_SPECIES
Dy 162.50 Dy.upf
Pr 140.91 Pr.upf
Th 232.04 Th.upf
CELL_PARAMETERS angstrom
8.791 0.000 0.000
0.000 7.086 0.000
0.000 -3.543 6.137
ATOMIC_POSITIONS angstrom
Dy 1.086 1.749 5.101
Dy 1.086 -1.749 5.101
Dy 3.911 1.777 1.026
Dy 1.086 0.000 2.072
Pr 6.863 -1.751 3.080
Dy 1.083 3.543 2.046
Dy 3.911 3.543 4.085
Pr 6.863 0.000 6.113
Pr 6.863 1.751 3.080
Dy 3.911 5.309 1.026
Th 3.905 0.000 4.091



Look up the uncorrected energy of the second one.
-47.01 eV for the cell shown